11
Lattice="-2.170 5.245 -2.322 -3.919 3.413 3.275 7.997 7.420 3.786" Properties=species:S:1:pos:R:3 comment="Sm3Ho6Th2 | the Alexandria database | GGA-PBE | relaxed" volume_a3_per_cell=370.8 dos_at_fermi_per_ev_atom=1.455 formation_enthalpy_0k_mev_per_atom=212 pbc="T T T"
Sm 0.000 0.000 0.000
Sm -2.019 2.883 0.300
Sm -4.071 5.776 0.653
Ho 2.430 9.994 4.031
Ho 4.325 9.473 1.074
Ho 4.461 7.107 3.711
Ho 1.502 3.193 0.391
Ho -0.522 6.085 0.709
Ho -2.553 8.972 1.030
Th 1.016 6.862 3.702
Th 0.892 9.217 1.038



5
Lattice="-1.340 3.974 -5.036 -6.112 0.773 2.237 1.950 5.154 3.548" Properties=species:S:1:pos:R:3 comment="K3HfSn | the Alexandria database | GGA-PBE | relaxed" volume_a3_per_cell=281.5 dos_at_fermi_per_ev_atom=2.657 formation_enthalpy_0k_mev_per_atom=1352 pbc="T T T"
K -3.056 0.387 1.118
K 0.975 2.577 1.774
K -0.670 1.987 -2.518
Hf 0.000 0.000 0.000
Sn -2.751 4.951 0.374



16
Lattice="-6.433 1.730 3.009 1.266 -4.732 5.426 5.515 6.304 -0.712" Properties=species:S:1:pos:R:3 comment="Er5Co2Si | the Alexandria database | GGA-PBE | relaxed" raw_formation_energy_kj_per_mol_fu=-270.5 volume_a3_per_cell=354.2 dos_at_fermi_per_ev_atom=1.200 pbc="T T T"
Er 1.442 2.175 4.825
Er -2.424 -1.428 7.509
Er 0.000 0.000 0.000
Er -2.584 -1.501 4.217
Er 2.771 4.729 0.214
Er -0.239 4.823 2.603
Er 4.453 2.081 2.436
Er 0.586 -1.522 5.120
Er -4.105 1.220 5.286
Er -1.095 1.126 2.898
Co -0.273 -1.606 2.429
Co -3.824 0.512 2.497
Co -1.343 -3.514 5.938
Co -4.895 -1.396 6.006
Si -1.118 0.900 5.970
Si 1.466 2.401 1.753



4
Lattice="4.839 0.000 0.000 2.419 4.190 0.000 2.419 1.397 3.951" Properties=species:S:1:pos:R:3 comment="NaTbSbRh | the Alexandria database | GGA-PBE | relaxed" raw_formation_energy_kj_per_mol_fu=-230.0 volume_a3_per_cell=80.1 dos_at_fermi_per_ev_atom=0.009 pbc="T T T"
Sb 4.839 2.794 1.975
Tb 0.000 0.000 0.000
Rh 2.419 1.397 0.988
Na 7.258 4.190 2.963



4
Lattice="-1.508 -4.256 0.378 1.794 1.429 -3.908 7.947 -0.080 3.618" Properties=species:S:1:pos:R:3 comment="RbSnTeCl | the Alexandria database | GGA-PBE | relaxed" raw_formation_energy_kj_per_mol_fu=-379.1 volume_a3_per_cell=148.1 dos_at_fermi_per_ev_atom=0.000 pbc="T T T"
Rb 4.201 -1.781 1.812
Sn 2.394 0.814 -3.321
Te 7.786 -0.691 1.230
Cl 2.085 -3.589 0.180



4
Lattice="4.780 0.000 0.000 2.390 4.140 0.000 2.390 1.380 3.903" Properties=species:S:1:pos:R:3 comment="PmTlNiRh | the Alexandria database | GGA-PBE | relaxed" volume_a3_per_cell=77.2 dos_at_fermi_per_ev_atom=0.940 formation_enthalpy_0k_mev_per_atom=-260 pbc="T T T"
Ni 2.390 1.380 0.976
Tl 4.780 2.760 1.952
Rh 7.171 4.140 2.927
Pm 0.000 0.000 0.000



6
Lattice="-2.754 -1.095 4.348 -0.633 3.679 3.709 -4.723 2.198 0.746" Properties=species:S:1:pos:R:3 comment="SiPt2 | the Alexandria database | GGA-PBE | relaxed" raw_formation_energy_kj_per_mol_fu=72.6 volume_a3_per_cell=103.0 dos_at_fermi_per_ev_atom=0.364 pbc="T T T"
Si -4.055 2.391 4.402
Si -6.083 3.587 6.603
Pt -2.391 0.050 3.275
Pt -1.330 2.437 2.955
Pt -3.375 1.697 1.474
Pt -1.014 0.598 1.101



5
Lattice="-1.533 3.610 0.352 -3.625 -1.510 -0.300 -0.139 -0.438 3.892" Properties=species:S:1:pos:R:3 comment="Re2TcHIr | the Alexandria database | GGA-PBE | relaxed" volume_a3_per_cell=60.8 dos_at_fermi_per_ev_atom=0.889 dft_energy_ev_per_atom=-9.485 pbc="T T T"
Re -1.812 -0.755 -0.150
Re -0.766 1.805 0.176
Ir -2.648 0.831 1.972
Tc -0.070 -0.219 1.946
H 0.000 0.000 0.000



4
Lattice="-2.695 3.226 -1.718 -4.132 -1.078 -1.545 -3.695 1.325 2.283" Properties=species:S:1:pos:R:3 comment="ScNbReIr | the Alexandria database | GGA-PBE | relaxed" volume_a3_per_cell=66.2 dos_at_fermi_per_ev_atom=0.248 formation_enthalpy_0k_mev_per_atom=-490 pbc="T T T"
Sc -5.261 1.736 -0.490
Re -7.891 2.605 -0.735
Nb 0.000 0.000 0.000
Ir -2.630 0.868 -0.245



11
Lattice="-2.412 1.790 -5.614 0.256 -5.519 1.740 -6.068 3.228 3.636" Properties=species:S:1:pos:R:3 comment="Tl2CdTe2O6 | the Alexandria database | GGA-PBE | relaxed" raw_formation_energy_kj_per_mol_fu=-991.2 volume_a3_per_cell=224.7 dos_at_fermi_per_ev_atom=0.000 pbc="T T T"
Tl -2.708 -0.551 -2.623
Tl -5.515 0.051 2.385
Cd -4.240 2.509 -0.989
Te -6.458 -0.478 -0.989
Te -1.765 -0.022 0.751
O -4.802 0.304 -1.451
O -1.939 -3.949 1.557
O -4.959 2.465 1.290
O -6.284 3.449 -1.795
O -3.264 -2.965 -1.528
O -3.421 -0.804 1.213



4
Lattice="-0.717 2.790 -0.604 -0.187 -0.667 -2.861 -7.807 -1.804 0.930" Properties=species:S:1:pos:R:3 comment="TlReMo2 | the Alexandria database | GGA-PBE | relaxed" volume_a3_per_cell=69.9 dos_at_fermi_per_ev_atom=0.726 formation_enthalpy_0k_mev_per_atom=419 pbc="T T T"
Mo -0.277 -0.064 0.033
Mo -3.627 -0.838 0.432
Re -2.404 0.610 -1.500
Tl -6.307 -0.292 -1.035



11
Lattice="-3.364 2.861 -3.585 -2.619 -7.064 -0.817 -1.848 3.172 6.629" Properties=species:S:1:pos:R:3 comment="Er8Tc2Ru | the Alexandria database | GGA-PBE | relaxed" volume_a3_per_cell=279.4 dos_at_fermi_per_ev_atom=0.728 formation_enthalpy_0k_mev_per_atom=-107 pbc="T T T"
Er -3.032 -0.415 -1.888
Er -2.834 2.213 0.024
Er -2.270 -0.860 1.417
Er -5.360 3.880 1.493
Er -5.808 -2.065 -2.832
Er -5.605 -0.206 0.864
Er -4.988 -3.289 2.239
Er -4.789 -0.635 4.169
Tc -4.111 -2.480 -0.294
Tc -3.816 1.434 2.553
Ru -0.056 -0.001 0.007



Number 1: magnetic moment 0.00 μB/f.u.. Number 2: magnetic moment 1.02 μB/f.u.. Number 3: magnetic moment 0.00 μB/f.u.. Number 4: magnetic moment 0.00 μB/f.u.. Number 5: magnetic moment 0.00 μB/f.u.. Number 6: magnetic moment 0.00 μB/f.u.. Number 7: magnetic moment 0.00 μB/f.u.. Number 8: magnetic moment 0.00 μB/f.u.. Number 9: magnetic moment 0.00 μB/f.u.. Number 10: magnetic moment 0.00 μB/f.u.. Number 11: magnetic moment 0.00 μB/f.u.. Number 12: magnetic moment 0.00 μB/f.u..